[1]
A relaxed structure of LaTb2Sm4Ho. Source: the Alexandria database, functional PBE-GGA.

abc: 6.2345 3.6247 12.0065
angles: 90.00 100.17 90.00
With the nearest neighbours (Å) after each atom.
Fractional positions:
La: 0.0000 0.0000 0.0000  4 Ho 3.61, 2 La 3.62, 6 Sm 3.63-3.65
Tb: 0.0000 0.5000 0.5000  6 Sm 3.58-3.60, 6 Tb 3.61-3.62
Tb: 0.5000 0.0000 0.5000  6 Sm 3.58-3.60, 6 Tb 3.61-3.62
Sm: 0.2503 0.0000 0.7487  6 Sm 3.60-3.62, 3 Tb 3.60, 2 Ho 3.63, 1 La 3.63
Sm: 0.2511 0.5000 0.2534  3 Tb 3.58, 6 Sm 3.60-3.62, 2 La 3.65, 1 Ho 3.65
Sm: 0.7489 0.5000 0.7466  3 Tb 3.58, 6 Sm 3.60-3.62, 2 La 3.65, 1 Ho 3.65
Sm: 0.7497 0.0000 0.2513  6 Sm 3.60-3.62, 3 Tb 3.60, 2 Ho 3.63, 1 La 3.63
Ho: 0.5000 0.5000 0.0000  4 La 3.61, 2 Ho 3.62, 6 Sm 3.63-3.65

E_tot: -4.686 eV/atom
calculated formation energy: 0.02 eV per atom

[2]
A relaxed structure of Sr2FePb. Source: the Alexandria database, functional PBE-GGA.

abc: 3.8142 3.8142 8.5798
angles: 90.00 90.00 90.00
With the nearest neighbours (Å) after each atom.
Fractional positions:
Sr: 0.0000 0.0000 0.2318  4 Fe 3.35, 4 Pb 3.55
Sr: 0.0000 0.0000 0.7682  4 Fe 3.35, 4 Pb 3.55
Fe: 0.5000 0.5000 0.0000  8 Sr 3.35
Pb: 0.5000 0.5000 0.5000  8 Sr 3.55, 4 Pb 3.81

E_tot: -3.716 eV/atom
calculated formation energy: 0.17 eV per atom

[3]
A relaxed structure of ScTeHI2. Source: the Alexandria database, functional PBE-GGA.

abc: 5.7689 5.7689 5.6032
angles: 90.00 90.00 90.00
With the nearest neighbours (Å) after each atom.
Fractional positions:
Sc: 0.0000 0.0000 0.0000  2 Te 2.80, 4 I 2.88
Te: 0.0000 0.0000 0.5000  2 Sc 2.80
H: 0.5000 0.5000 0.5000  8 I 4.02, 4 Te 4.08
I: 0.0000 0.5000 0.0000  2 Sc 2.88
I: 0.5000 0.0000 0.0000  2 Sc 2.88

E_tot: -3.315 eV/atom
distance to the lowest polymorph of the same formula: 0 meV per atom

[4]
A relaxed structure of DyHfGaAg. Source: the Alexandria database, functional PBE-GGA.

abc: 4.9340 4.9340 4.9340
angles: 60.00 60.00 60.00
With the nearest neighbours (Å) after each atom.
Fractional positions:
Dy: 0.0000 0.0000 0.0000  4 Ga 3.02, 4 Ag 3.02
Hf: 0.5000 0.5000 0.5000  4 Ga 3.02, 4 Ag 3.02
Ga: 0.7500 0.7500 0.7500  4 Hf 3.02, 4 Dy 3.02
Ag: 0.2500 0.2500 0.2500  4 Hf 3.02, 4 Dy 3.02

E_tot: -5.349 eV/atom
calculated formation energy: -0.24 eV per atom

[5]
A relaxed structure of LiSc2NbO6. Source: the Alexandria database, functional PBE-GGA.

abc: 5.7397 5.7397 5.7397
angles: 55.38 55.38 55.38
With the nearest neighbours (Å) after each atom.
Fractional positions:
Li: 0.0000 0.0000 0.0000  3 O 2.05
Sc: 0.2708 0.2708 0.2708  6 O 2.13-2.14
Sc: 0.7659 0.7659 0.7659  6 O 2.04-2.24
Nb: 0.4740 0.4740 0.4740  6 O 1.94-2.13
O: 0.0761 0.6522 0.3892  2 Sc 2.04-2.13, 1 Li 2.05, 1 Nb 2.13
O: 0.1932 0.5479 0.8510  1 Nb 1.94, 1 Sc 2.14
O: 0.3892 0.0761 0.6522  2 Sc 2.04-2.13, 1 Li 2.05, 1 Nb 2.13
O: 0.5479 0.8510 0.1932  1 Nb 1.94, 1 Sc 2.14
O: 0.6522 0.3892 0.0761  2 Sc 2.04-2.13, 1 Li 2.05, 1 Nb 2.13
O: 0.8510 0.1932 0.5479  1 Nb 1.94, 1 Sc 2.14

E_tot: -8.422 eV/atom
raw formation energy: -2982 meV per atom

[6]
A relaxed structure of Rb2SeS5. Source: the Alexandria database, functional PBE-GGA.

abc: 6.4354 7.0152 7.0361
angles: 90.69 113.10 114.12
With the nearest neighbours (Å) after each atom.
Fractional positions:
Rb: 0.0000 0.0000 0.0000  7 S 3.44-3.76, 1 Se 3.75
Rb: 0.0150 0.4982 0.5334  7 S 3.47-3.79, 2 Se 3.54-3.63
Se: 0.4176 0.2620 0.5708  1 S 2.17
S: 0.1118 0.5269 0.0561  1 S 2.00
S: 0.4128 0.0442 0.7869  1 Se 2.17
S: 0.4577 0.5781 0.1002  2 S 2.00-2.18
S: 0.5592 0.9512 0.4838  1 S 1.98
S: 0.7340 0.8446 0.3665  2 S 1.98-2.18

E_tot: -3.690 eV/atom
raw formation energy: -433 meV per atom
distance to the lowest polymorph of the same formula: 20 meV per atom